(1)
A plane-wave DFT calculation with GGA-PBE was carried out for crystalline Tb3PmBi3 at its relaxed geometry.

a b c (Å): 8.262 8.262 8.262
angles (deg): 68.01 68.01 68.01
Positions (direct):
Tb 0.084 0.342 0.821
Tb 0.179 0.916 0.658
Tb 0.342 0.821 0.084
Tb 0.658 0.179 0.916
Tb 0.821 0.084 0.342
Tb 0.916 0.658 0.179
Pm 0.334 0.334 0.334
Pm 0.666 0.666 0.666
Bi 0.082 0.700 0.471
Bi 0.300 0.529 0.918
Bi 0.471 0.082 0.700
Bi 0.529 0.918 0.300
Bi 0.700 0.471 0.082
Bi 0.918 0.300 0.529

Output
Energy of formation from the pure elements, eV per atom: -0.68
DOS(E_F), states/eV/cell: 9.39
SG: R-3, No. 148
Crystal system: trigonal


(2)
A plane-wave DFT calculation with GGA-PBE was carried out for crystalline TbPmBi2 at its relaxed geometry.

a b c (Å): 5.906 5.906 3.437
angles (deg): 90.00 90.00 90.00
Positions (direct):
Tb 0.000 0.000 0.000
Pm 0.500 0.500 0.000
Bi 0.000 0.500 0.500
Bi 0.500 0.000 0.500

Output
Energy of formation from the pure elements, eV per atom: -0.71
DOS(E_F), states/eV/cell: 1.65
ΔE to the lowest computed polymorph, eV per atom: 0.204
SG: P4/mmm, No. 123
Crystal system: tetragonal


(3)
A plane-wave DFT calculation with GGA-PBE was carried out for crystalline TbPmBiTe at its relaxed geometry.

a b c (Å): 5.494 5.494 5.494
angles (deg): 60.00 60.00 60.00
Positions (direct):
Tb 0.000 0.000 0.000
Pm 0.500 0.500 0.500
Bi 0.250 0.250 0.250
Te 0.750 0.750 0.750

Output
Raw formation energy, eV/atom: -0.929
DOS(E_F), states/eV/cell: 3.69
ΔE to the lowest computed polymorph, eV per atom: 0.216
SG: F-43m, No. 216
Crystal system: cubic


(4)
A plane-wave DFT calculation with GGA-PBE was carried out for crystalline TbPmBiTe at its relaxed geometry.

a b c (Å): 4.483 4.483 6.327
angles (deg): 90.00 90.00 90.00
Positions (direct):
Tb 0.000 0.000 0.000
Pm 0.500 0.500 0.499
Bi 0.000 0.000 0.500
Te 0.500 0.500 0.999

Output
Raw formation energy, eV/atom: -1.145
DOS(E_F), states/eV/cell: 1.49
ΔE to the lowest computed polymorph, eV per atom: 0.000
SG: P4mm, No. 99
Crystal system: tetragonal


(5)
A plane-wave DFT calculation with GGA-PBE was carried out for crystalline TbPm3Th2Bi6 at its relaxed geometry.

a b c (Å): 10.227 10.227 9.139
angles (deg): 102.99 102.99 25.87
Positions (direct):
Tb 0.000 0.000 0.000
Pm 0.000 0.000 0.500
Pm 0.333 0.333 0.166
Pm 0.667 0.667 0.834
Th 0.335 0.335 0.669
Th 0.665 0.665 0.331
Bi 0.165 0.165 0.081
Bi 0.167 0.167 0.584
Bi 0.499 0.499 0.246
Bi 0.501 0.501 0.754
Bi 0.833 0.833 0.416
Bi 0.835 0.835 0.919

Output
Energy of formation from the pure elements, eV per atom: -0.81
DOS(E_F), states/eV/cell: 5.09
SG: C2/m, No. 12
Crystal system: monoclinic


(6)
A plane-wave DFT calculation with GGA-PBE was carried out for crystalline Tb2PmThBi5 at its relaxed geometry.

a b c (Å): 5.714 5.714 12.064
angles (deg): 90.00 90.00 90.00
Positions (direct):
Tb 0.000 0.000 0.234
Tb 0.000 0.000 0.766
Pm 0.500 0.500 0.500
Th 0.500 0.500 0.000
Bi 0.000 0.000 0.500
Bi 0.000 0.500 0.000
Bi 0.500 0.000 0.000
Bi 0.500 0.500 0.256
Bi 0.500 0.500 0.744

Output
Energy of formation from the pure elements, eV per atom: 0.17
DOS(E_F), states/eV/cell: 6.56
SG: P4/mmm, No. 123
Crystal system: tetragonal


(7)
A plane-wave DFT calculation with GGA-PBE was carried out for crystalline TbPmTh2Bi5 at its relaxed geometry.

a b c (Å): 5.427 5.427 11.863
angles (deg): 90.00 90.00 90.00
Positions (direct):
Tb 0.000 0.000 0.000
Pm 0.000 0.000 0.500
Th 0.500 0.500 0.201
Th 0.500 0.500 0.799
Bi 0.000 0.000 0.250
Bi 0.000 0.000 0.750
Bi 0.000 0.500 0.000
Bi 0.500 0.000 0.000
Bi 0.500 0.500 0.500

Output
Energy of formation from the pure elements, eV per atom: 0.04
DOS(E_F), states/eV/cell: 5.02
SG: P4/mmm, No. 123
Crystal system: tetragonal


(8)
A plane-wave DFT calculation with GGA-PBE was carried out for crystalline TbPm2Th3Bi6 at its relaxed geometry.

a b c (Å): 10.229 10.229 9.130
angles (deg): 102.79 102.79 25.86
Positions (direct):
Tb 0.000 0.000 0.000
Pm 0.334 0.334 0.667
Pm 0.666 0.666 0.333
Th 0.000 0.000 0.500
Th 0.332 0.332 0.167
Th 0.668 0.668 0.833
Bi 0.164 0.164 0.083
Bi 0.167 0.167 0.582
Bi 0.500 0.500 0.245
Bi 0.500 0.500 0.755
Bi 0.833 0.833 0.418
Bi 0.836 0.836 0.917

Output
Energy of formation from the pure elements, eV per atom: -0.75
DOS(E_F), states/eV/cell: 6.59
SG: C2/m, No. 12
Crystal system: monoclinic


(9)
A plane-wave DFT calculation with GGA-PBE was carried out for crystalline Tb2PmThBi4 at its relaxed geometry.

a b c (Å): 7.849 4.550 7.866
angles (deg): 90.00 109.49 90.00
Positions (direct):
Tb 0.000 0.000 0.000
Tb 0.000 0.500 0.500
Pm 0.500 0.000 0.500
Th 0.500 0.500 0.000
Bi 0.243 0.000 0.747
Bi 0.244 0.500 0.248
Bi 0.756 0.500 0.752
Bi 0.757 0.000 0.253

Output
Energy of formation from the pure elements, eV per atom: -0.83
DOS(E_F), states/eV/cell: 1.84
SG: P2/m, No. 10
Crystal system: monoclinic


(10)
A plane-wave DFT calculation with GGA-PBE was carried out for crystalline TbPm2ThBi4 at its relaxed geometry.

a b c (Å): 7.891 4.571 7.908
angles (deg): 90.00 109.48 90.00
Positions (direct):
Tb 0.000 0.000 0.000
Pm 0.000 0.500 0.500
Pm 0.500 0.000 0.500
Th 0.500 0.500 0.000
Bi 0.246 0.500 0.246
Bi 0.247 0.000 0.751
Bi 0.753 0.000 0.249
Bi 0.754 0.500 0.754

Output
Energy of formation from the pure elements, eV per atom: -0.85
DOS(E_F), states/eV/cell: 1.79
SG: P2/m, No. 10
Crystal system: monoclinic


(11)
A plane-wave DFT calculation with GGA-PBE was carried out for crystalline TbPmTlBi at its relaxed geometry.

a b c (Å): 5.505 5.505 5.505
angles (deg): 60.00 60.00 60.00
Positions (direct):
Tb 0.000 0.000 0.000
Pm 0.500 0.500 0.500
Tl 0.250 0.250 0.250
Bi 0.750 0.750 0.750

Output
Energy of formation from the pure elements, eV per atom: -0.44
DOS(E_F), states/eV/cell: 4.15
SG: F-43m, No. 216
Crystal system: cubic


(12)
A plane-wave DFT calculation with GGA-PBE was carried out for crystalline TbPm2TmBi5 at its relaxed geometry.

a b c (Å): 5.454 5.454 11.838
angles (deg): 90.00 90.00 90.00
Positions (direct):
Tb 0.000 0.000 0.000
Pm 0.500 0.500 0.224
Pm 0.500 0.500 0.776
Tm 0.000 0.000 0.500
Bi 0.000 0.000 0.256
Bi 0.000 0.000 0.744
Bi 0.000 0.500 0.000
Bi 0.500 0.000 0.000
Bi 0.500 0.500 0.500

Output
Energy of formation from the pure elements, eV per atom: -0.06
DOS(E_F), states/eV/cell: 5.68
SG: P4/mmm, No. 123
Crystal system: tetragonal


(13)
A plane-wave DFT calculation with GGA-PBE was carried out for crystalline Tb3PmTm2Bi6 at its relaxed geometry.

a b c (Å): 10.032 10.032 8.975
angles (deg): 102.88 102.88 25.85
Positions (direct):
Tb 0.000 0.000 0.000
Tb 0.335 0.335 0.668
Tb 0.665 0.665 0.332
Pm 0.000 0.000 0.500
Tm 0.333 0.333 0.167
Tm 0.667 0.667 0.833
Bi 0.168 0.168 0.080
Bi 0.169 0.169 0.587
Bi 0.498 0.498 0.245
Bi 0.502 0.502 0.755
Bi 0.831 0.831 0.413
Bi 0.832 0.832 0.920

Output
Energy of formation from the pure elements, eV per atom: -0.85
DOS(E_F), states/eV/cell: 2.01
SG: C2/m, No. 12
Crystal system: monoclinic


(14)
A plane-wave DFT calculation with GGA-PBE was carried out for crystalline TbPm2TmBi4 at its relaxed geometry.

a b c (Å): 7.826 4.526 7.833
angles (deg): 90.00 109.49 90.00
Positions (direct):
Tb 0.000 0.000 0.000
Pm 0.500 0.000 0.500
Pm 0.500 0.500 0.000
Tm 0.000 0.500 0.500
Bi 0.241 0.000 0.745
Bi 0.243 0.500 0.250
Bi 0.757 0.500 0.750
Bi 0.759 0.000 0.255

Output
Energy of formation from the pure elements, eV per atom: -0.88
DOS(E_F), states/eV/cell: 1.24
SG: P2/m, No. 10
Crystal system: monoclinic


(15)
A plane-wave DFT calculation with GGA-PBE was carried out for crystalline Tb2PmY3Bi6 at its relaxed geometry.

a b c (Å): 10.065 10.065 9.004
angles (deg): 102.84 102.84 25.85
Positions (direct):
Tb 0.167 0.167 0.333
Tb 0.833 0.833 0.667
Pm 0.500 0.500 0.000
Y 0.166 0.166 0.832
Y 0.500 0.500 0.500
Y 0.834 0.834 0.168
Bi 0.000 0.000 0.254
Bi 0.000 0.000 0.746
Bi 0.332 0.332 0.916
Bi 0.333 0.333 0.417
Bi 0.667 0.667 0.583
Bi 0.668 0.668 0.084

Output
Energy of formation from the pure elements, eV per atom: -0.90
DOS(E_F), states/eV/cell: 2.03
SG: C2/m, No. 12
Crystal system: monoclinic


(16)
A plane-wave DFT calculation with GGA-PBE was carried out for crystalline Tb3PmY2Bi6 at its relaxed geometry.

a b c (Å): 10.070 10.070 9.008
angles (deg): 102.87 102.87 25.85
Positions (direct):
Tb 0.000 0.000 0.000
Tb 0.334 0.334 0.668
Tb 0.666 0.666 0.332
Pm 0.000 0.000 0.500
Y 0.333 0.333 0.167
Y 0.667 0.667 0.833
Bi 0.167 0.167 0.083
Bi 0.168 0.168 0.584
Bi 0.499 0.499 0.246
Bi 0.501 0.501 0.754
Bi 0.832 0.832 0.416
Bi 0.833 0.833 0.917

Output
Energy of formation from the pure elements, eV per atom: -0.89
DOS(E_F), states/eV/cell: 2.02
SG: C2/m, No. 12
Crystal system: monoclinic


(17)
A plane-wave DFT calculation with GGA-PBE was carried out for crystalline TbPm2Y3Bi6 at its relaxed geometry.

a b c (Å): 7.828 7.828 7.817
angles (deg): 99.60 99.60 120.01
Positions (direct):
Tb 0.000 0.000 0.000
Pm 0.334 0.666 0.000
Pm 0.666 0.334 0.000
Y 0.168 0.832 0.500
Y 0.500 0.500 0.500
Y 0.832 0.168 0.500
Bi 0.084 0.414 0.254
Bi 0.245 0.245 0.745
Bi 0.414 0.084 0.254
Bi 0.586 0.916 0.746
Bi 0.755 0.755 0.255
Bi 0.916 0.586 0.746

Output
Energy of formation from the pure elements, eV per atom: -0.91
DOS(E_F), states/eV/cell: 2.22
SG: C2/m, No. 12
Crystal system: monoclinic


(18)
A plane-wave DFT calculation with GGA-PBE was carried out for crystalline Tb3Pm2YBi6 at its relaxed geometry.

a b c (Å): 10.106 10.106 9.040
angles (deg): 102.87 102.87 25.86
Positions (direct):
Tb 0.000 0.000 0.000
Tb 0.332 0.332 0.666
Tb 0.668 0.668 0.334
Pm 0.334 0.334 0.167
Pm 0.666 0.666 0.833
Y 0.000 0.000 0.500
Bi 0.166 0.166 0.086
Bi 0.166 0.166 0.579
Bi 0.498 0.498 0.749
Bi 0.502 0.502 0.251
Bi 0.834 0.834 0.421
Bi 0.834 0.834 0.914

Output
Energy of formation from the pure elements, eV per atom: -0.90
DOS(E_F), states/eV/cell: 2.01
SG: C2/m, No. 12
Crystal system: monoclinic


(19)
A plane-wave DFT calculation with GGA-PBE was carried out for crystalline TbPm2YBi5 at its relaxed geometry.

a b c (Å): 5.450 5.450 11.906
angles (deg): 90.00 90.00 90.00
Positions (direct):
Tb 0.000 0.000 0.000
Pm 0.500 0.500 0.226
Pm 0.500 0.500 0.774
Y 0.000 0.000 0.500
Bi 0.000 0.000 0.254
Bi 0.000 0.000 0.746
Bi 0.000 0.500 0.000
Bi 0.500 0.000 0.000
Bi 0.500 0.500 0.500

Output
Energy of formation from the pure elements, eV per atom: -0.09
DOS(E_F), states/eV/cell: 6.03
SG: P4/mmm, No. 123
Crystal system: tetragonal


(20)
A plane-wave DFT calculation with GGA-PBE was carried out for crystalline Tb2Pm3YBi6 at its relaxed geometry.

a b c (Å): 10.136 10.136 9.067
angles (deg): 102.82 102.82 25.86
Positions (direct):
Tb 0.167 0.167 0.333
Tb 0.833 0.833 0.667
Pm 0.167 0.167 0.833
Pm 0.500 0.500 0.500
Pm 0.833 0.833 0.167
Y 0.500 0.500 0.000
Bi 0.001 0.001 0.247
Bi 0.332 0.332 0.420
Bi 0.335 0.335 0.914
Bi 0.665 0.665 0.086
Bi 0.668 0.668 0.580
Bi 0.999 0.999 0.753

Output
Energy of formation from the pure elements, eV per atom: -0.91
DOS(E_F), states/eV/cell: 2.02
SG: C2/m, No. 12
Crystal system: monoclinic


(21)
A plane-wave DFT calculation with GGA-PBE was carried out for crystalline TbPm3Y2Bi6 at its relaxed geometry.

a b c (Å): 10.131 10.131 9.063
angles (deg): 102.81 102.81 25.87
Positions (direct):
Tb 0.000 0.000 0.000
Pm 0.000 0.000 0.500
Pm 0.333 0.333 0.167
Pm 0.667 0.667 0.833
Y 0.333 0.333 0.667
Y 0.667 0.667 0.333
Bi 0.165 0.165 0.086
Bi 0.168 0.168 0.580
Bi 0.499 0.499 0.753
Bi 0.501 0.501 0.247
Bi 0.832 0.832 0.420
Bi 0.835 0.835 0.914

Output
Energy of formation from the pure elements, eV per atom: -0.92
DOS(E_F), states/eV/cell: 2.03
SG: C2/m, No. 12
Crystal system: monoclinic


(22)
A plane-wave DFT calculation with GGA-PBE was carried out for crystalline TbPmZnBi at its relaxed geometry.

a b c (Å): 5.353 5.353 5.353
angles (deg): 60.00 60.00 60.00
Positions (direct):
Tb 0.000 0.000 0.000
Pm 0.500 0.500 0.500
Zn 0.750 0.750 0.750
Bi 0.250 0.250 0.250

Output
Energy of formation from the pure elements, eV per atom: -0.43
DOS(E_F), states/eV/cell: 2.69
SG: F-43m, No. 216
Crystal system: cubic


(23)
A plane-wave DFT calculation with GGA-PBE was carried out for crystalline Pm8TcBi2 at its relaxed geometry.

a b c (Å): 10.109 10.109 7.380
angles (deg): 99.05 99.05 27.73
Positions (direct):
Pm 0.005 0.005 0.277
Pm 0.216 0.216 0.845
Pm 0.360 0.360 0.468
Pm 0.407 0.407 0.993
Pm 0.593 0.593 0.007
Pm 0.640 0.640 0.532
Pm 0.784 0.784 0.155
Pm 0.995 0.995 0.723
Tc 0.500 0.500 0.500
Bi 0.182 0.182 0.275
Bi 0.818 0.818 0.725

Output
Energy of formation from the pure elements, eV per atom: -0.28
DOS(E_F), states/eV/cell: 11.47
SG: C2/m, No. 12
Crystal system: monoclinic